Density functional theory data (GGA+U) for a relaxed structure of KTl3V4O12.

```
KTl3V4O12
1.0
6.817 3.936 2.242
-6.817 3.936 2.242
0.000 -7.872 2.242
K Tl V O
1 3 4 12
Direct
0.000 0.000 0.000
0.000 0.568 0.432
0.432 0.000 0.568
0.568 0.432 0.000
0.087 0.500 0.913
0.500 0.500 0.500
0.500 0.913 0.087
0.913 0.087 0.500
0.036 0.964 0.500
0.132 0.640 0.796
0.204 0.360 0.868
0.360 0.868 0.204
0.373 0.627 0.500
0.500 0.036 0.964
0.500 0.373 0.627
0.627 0.500 0.373
0.640 0.796 0.132
0.796 0.132 0.640
0.868 0.204 0.360
0.964 0.500 0.036
```

## Properties
Size of the total moment (μB/f.u.): 0.98
E (eV per cell): -122.8
Symmetry: No. 155